Entry 1:
# PBE PmY2OsO8, relaxed
data_PmY2OsO8
_symmetry_space_group_name_H-M 'C m m m'
_symmetry_Int_Tables_number 65
_symmetry_space_group_name_Hall '-C 2 2'
_cell_length_a 7.1663
_cell_length_b 7.1913
_cell_length_c 6.8689
_cell_angle_alpha 90.00
_cell_angle_beta 90.00
_cell_angle_gamma 90.00
loop_
_atom_site_label
_atom_site_fract_x
_atom_site_fract_y
_atom_site_fract_z
_atom_site_occupancy
Pm1 0.0000 0.0000 0.0000 1
Y1 0.0000 0.5000 0.2477 1
Os1 0.0000 0.0000 0.5000 1
O1 0.0000 0.2622 0.5000 1
O2 0.0000 0.3132 0.0000 1
O3 0.1845 0.0000 0.2958 1
# Calculated volume = 177.0 Å³/f.u.
# Uncorrected energy = -8.206 eV per atom
# Formation energy from raw total energies = -2.492 eV/atom
# Total moment = 1.0 μB/f.u.

Entry 2:
# PBE PmYOsO6, relaxed
data_PmYOsO6
_symmetry_space_group_name_H-M 'P -3 1 c'
_symmetry_Int_Tables_number 163
_symmetry_space_group_name_Hall '-P 3 2c'
_cell_length_a 5.5308
_cell_length_b 5.5308
_cell_length_c 9.8226
_cell_angle_alpha 90.00
_cell_angle_beta 90.00
_cell_angle_gamma 120.00
loop_
_atom_site_label
_atom_site_fract_x
_atom_site_fract_y
_atom_site_fract_z
_atom_site_occupancy
Pm1 0.0000 0.0000 0.0000 1
Y1 0.3333 0.6667 0.2500 1
Os1 0.3333 0.6667 0.7500 1
O1 0.0437 0.3750 0.6378 1
# Calculated volume = 130.1 Å³/f.u.
# Uncorrected energy = -8.137 eV per atom
# Formation energy from raw total energies = -2.338 eV/atom
# Total moment = 2.0 μB/f.u.

Entry 3:
# PBE Pr6OsO12, relaxed
data_Pr6OsO12
_symmetry_space_group_name_H-M 'R -3'
_symmetry_Int_Tables_number 148
_symmetry_space_group_name_Hall '-R 3'
_cell_length_a 10.2736
_cell_length_b 10.2736
_cell_length_c 9.8537
_cell_angle_alpha 90.00
_cell_angle_beta 90.00
_cell_angle_gamma 120.00
loop_
_atom_site_label
_atom_site_fract_x
_atom_site_fract_y
_atom_site_fract_z
_atom_site_occupancy
Pr1 0.0464 0.2564 0.1458 1
Os1 0.0000 0.0000 0.5000 1
O1 0.0372 0.2263 0.9037 1
O2 0.0398 0.1788 0.3929 1
# Calculated volume = 300.2 Å³/f.u.
# Uncorrected energy = -8.092 eV per atom
# Formation energy from raw total energies = -2.860 eV/atom
# Total moment = 2.0 μB/f.u.